Entry from the Alexandria database: a relaxed structure of NbMo (PBE).

Raw total energy = -10.583 eV/atom
Fermi-level density of states = 1.2 states/eV/f.u.
Formation enthalpy at 0 K = -133 meV per atom
Volume = 16.9 A^3/atom

The structure in CIF format:
```
data_NbMo
_cell_length_a 3.227
_cell_length_b 4.545
_cell_length_c 9.220
_cell_angle_alpha 90.00
_cell_angle_beta 90.00
_cell_angle_gamma 90.00
_symmetry_space_group_name_H-M 'I m m a'
_symmetry_Int_Tables_number 74
_symmetry_space_group_name_Hall '-I 2b 2'
loop_
_atom_site_label
_atom_site_fract_x
_atom_site_fract_y
_atom_site_fract_z
_atom_site_occupancy
Nb1 0.000 0.250 0.121 1
Mo1 0.000 0.250 0.629 1
```